# Ba4Ca6H19 PBE-GGA optimized geometry
data_Ba4Ca6H19
_chemical_formula_sum 'Ba4 Ca6 H19'
_symmetry_space_group_name_H-M 'P 1'
_symmetry_Int_Tables_number 1
_cell_length_a 8.5712
_cell_length_b 8.5712
_cell_length_c 8.5712
_cell_angle_alpha 109.47
_cell_angle_beta 109.47
_cell_angle_gamma 109.47
loop_
_symmetry_equiv_pos_as_xyz
'x,y,z'
loop_
_atom_site_label
_atom_site_fract_x
_atom_site_fract_y
_atom_site_fract_z
Ba1 0.0000 0.0000 0.3243
Ba2 0.0000 0.3243 0.0000
Ba3 0.3243 0.0000 0.0000
Ba4 0.6757 0.6757 0.6757
Ca1 0.1802 0.5000 0.6802
Ca2 0.3198 0.8198 0.5000
Ca3 0.5000 0.3198 0.8198
Ca4 0.5000 0.6802 0.1802
Ca5 0.6802 0.1802 0.5000
Ca6 0.8198 0.5000 0.3198
H1 0.0000 0.0000 0.0000
H2 0.0000 0.3536 0.3536
H3 0.0000 0.6464 0.6464
H4 0.0240 0.6585 0.2493
H5 0.2253 0.6345 0.9760
H6 0.2493 0.0240 0.6585
H7 0.3415 0.3655 0.5909
H8 0.3536 0.0000 0.3536
H9 0.3536 0.3536 0.0000
H10 0.3655 0.5909 0.3415
H11 0.4091 0.7747 0.7507
H12 0.5909 0.3415 0.3655
H13 0.6345 0.9760 0.2253
H14 0.6464 0.0000 0.6464
H15 0.6464 0.6464 0.0000
H16 0.6585 0.2493 0.0240
H17 0.7507 0.4091 0.7747
H18 0.7747 0.7507 0.4091
H19 0.9760 0.2253 0.6345
# Symmetry   I23, No. 197
# Final energy   -96.4 eV per formula unit